# 1
The following is a PBE calculation of an optimized crystal structure of AlAgPb, from the Alexandria database.

Raw total energy = -10.101 eV per formula unit
Space-group type = P1, No. 1
Energy of formation = 0.07 eV/atom

a b c (Å): 3.270 4.801 9.414
angles (deg): 96.43 90.79 109.88
Positions (direct):
Al 0.000 0.000 0.000
Al 0.266 0.543 0.868
Ag 0.527 0.071 0.760
Ag 0.732 0.457 0.097
Pb 0.227 0.464 0.553
Pb 0.485 0.952 0.291

---

# 2
The following is a PBE calculation of an optimized crystal structure of BaCaCu10, from the Alexandria database.

Raw total energy = -45.458 eV per formula unit
Space-group type = Pmmm, No. 47
Energy of formation = -0.05 eV/atom

a b c (Å): 4.038 5.277 9.155
angles (deg): 90.00 90.00 90.00
Positions (direct):
Ba 0.000 0.000 0.000
Ca 0.000 0.500 0.500
Cu 0.000 0.000 0.344
Cu 0.000 0.000 0.656
Cu 0.000 0.500 0.180
Cu 0.000 0.500 0.820
Cu 0.500 0.000 0.500
Cu 0.500 0.256 0.262
Cu 0.500 0.256 0.738
Cu 0.500 0.500 0.000
Cu 0.500 0.744 0.262
Cu 0.500 0.744 0.738

---

# 3
The following is a PBE calculation of an optimized crystal structure of Pa2TeI, from the Alexandria database.

Formation energy (no corrections) = -0.283 eV/atom
Raw total energy = -24.816 eV per formula unit
Space-group type = P4/mmm, No. 123
ΔE to the lowest computed polymorph = 0.02 eV/f.u.

a b c (Å): 3.763 3.763 7.526
angles (deg): 90.00 90.00 90.00
Positions (direct):
Pa 0.000 0.000 0.241
Pa 0.000 0.000 0.759
Te 0.500 0.500 0.000
I 0.500 0.500 0.500